# 1
SmTmPd: relaxed, PBE-GGA.

extended XYZ file:
```
3
Lattice="-3.1142 -3.3852 1.7086 0.5422 -4.7041 -1.2861 1.5235 -3.2880 3.3083" Properties=species:S:1:pos:R:3 pbc="T T T"
Tm -0.5242 -5.6886 1.8654
Pd -0.2621 -2.8443 0.9327
Sm 0.0000 0.0000 0.0000
```

Values from the calculation:
**Total moment**: 0.000 μB per cell
**ρ**: 8.462 g cm⁻³
**ΔH_f (0 K)**: -0.461 eV per atom
**Raw total energy**: -5.256 eV/atom
**Polymorph energy (0 for the lowest one)**: 0.1270 eV/atom



# 2
AlSb2Te: relaxed, PBE-GGA.

extended XYZ file:
```
4
Lattice="-2.0893 -4.2500 3.7621 2.8977 -0.5202 1.0217 2.0095 3.6959 5.2912" Properties=species:S:1:pos:R:3 pbc="T T T"
Sb 0.6090 0.3956 0.7851
Sb -0.4302 -1.7259 2.6731
Te 3.0704 1.9826 3.9449
Al 2.0224 -0.1387 5.8283
```

Values from the calculation:
**Total moment**: 0.000 μB per cell
**ρ**: 5.784 g cm⁻³
**Raw total energy**: -3.678 eV/atom
**Polymorph energy (0 for the lowest one)**: 0.1914 eV/atom